Below is a relaxed PmThSb crystal, with properties calculated at the PBE-GGA level.

Its density is 8.9 g/cm³. The calculation puts the total magnetization at 0.0 μB per formula unit. As for the polymorph energy (0 for the lowest one): 0.25 eV per formula unit. Its energy relative to the elements, uncorrected is -0.714 eV per atom.

It has space group C2/m (No. 12), with a = 6.418 Å, b = 6.418 Å, c = 9.001 Å, α = 90.00°, β = 90.03° and γ = 90.00°. The distinct sites, in fractional coordinates, are Pm at (0.250, 0.000, 0.139), Th at (0.000, 0.250, 0.500) and Sb at (0.250, 0.000, 0.781).